First-principles (GGA-PBE) data for a relaxed structure of LaZn12Pd4, as listed in Alexandria.

Results
Density (g cm⁻³): 6.69
Magnetic moment (μB/f.u.): 0.0
DFT total energy (eV/atom): -2.471
Calculated volume (Å³/atom): 19.716

Lattice parameters (Å, degrees): 7.579 7.579 7.579 109.47 109.47 109.47
Fractional coordinates of all 17 atoms:
La 0.000 0.000 0.000
Zn 0.846 0.353 0.199
Zn 0.353 0.506 0.154
Zn 0.801 0.154 0.647
Zn 0.353 0.199 0.846
Zn 0.199 0.846 0.353
Zn 0.647 0.494 0.846
Zn 0.506 0.154 0.353
Zn 0.494 0.846 0.647
Zn 0.647 0.801 0.154
Zn 0.846 0.647 0.494
Zn 0.154 0.353 0.506
Zn 0.154 0.647 0.801
Pd 0.000 0.500 0.000
Pd 0.500 0.000 0.000
Pd 0.500 0.500 0.500
Pd 0.000 0.000 0.500